Record 1
Here is crystalline CsSnSb at its relaxed geometry from Alexandria. Energies are from PBE.

Results
The calculated total energy is -3.308 eV per atom. As for the crystal system: monoclinic.

Cell: 4.5443 8.0127 8.5597 Å, 117.55 90.00 90.00°
Fractional positions:
Sn 0.2500 0.7228 0.5838
Sn 0.7500 0.2772 0.4162
Sb 0.2500 0.3665 0.2435
Cs 0.2500 0.8248 0.1719
Cs 0.7500 0.1752 0.8281
Sb 0.7500 0.6335 0.7565

Record 2
Here is crystalline CsSn2Sb at its relaxed geometry from Alexandria. Energies are from PBE.

Results
The calculated total energy is -3.223 eV per atom. As for the crystal system: trigonal.

Cell: 4.1640 4.1640 10.3539 Å, 78.40 78.40 60.00°
Fractional positions:
Sn 0.7285 0.7285 0.8145
Cs 0.5000 0.5000 0.5000
Sn 0.2715 0.2715 0.1855
Sb 0.0000 0.0000 0.0000

Record 3
Here is crystalline Cs3Sn2Sb3 at its relaxed geometry from Alexandria. Energies are from PBE.

Results
The calculated total energy is -3.174 eV per atom. As for the crystal system: orthorhombic.

Cell: 5.7669 7.9231 16.5811 Å, 90.00 90.00 111.34°
Fractional positions:
Cs 0.9240 0.8480 0.3893
Cs 0.0760 0.1520 0.6107
Sn 0.2064 0.4128 0.1038
Sn 0.2064 0.4128 0.3962
Sb 0.6768 0.3537 0.0366
Sn 0.7936 0.5872 0.8962
Cs 0.6278 0.2556 0.2500
Cs 0.3722 0.7444 0.7500
Sb 0.6768 0.3537 0.4634
Cs 0.9240 0.8480 0.1107
Sn 0.7936 0.5872 0.6038
Sb 0.3232 0.6463 0.5366
Sb 0.3235 0.6469 0.2500
Sb 0.6765 0.3531 0.7500
Sb 0.3232 0.6463 0.9634
Cs 0.0760 0.1520 0.8893

For each record above, in turn, the calculated N(E_F) values are 1.30 2.18 9.37 states/eV per cell.
For each record above, in turn, the calculated M_tot values are 0.00 0.00 0.00 Bohr magnetons per cell.
For each record above, in turn, the calculated ΔE_f (raw) values are -315 23 -307 meV/atom.